Record 1
Li3AuBr | PBE-GGA | optimized geometry

a = 4.960 Å, b = 4.960 Å, c = 4.960 Å
α = 90.00°, β = 90.00°, γ = 90.00°
Fractional coordinates of all 5 atoms:
Li: 0.000 0.500 0.000
Li: 0.000 0.000 0.500
Li: 0.500 0.000 0.000
Br: 0.500 0.500 0.500
Au: 0.000 0.000 0.000

Computed properties:
As for the total magnetic moment: 0.00 μB per atom. The crystal system is cubic. The calculation puts the uncorrected formation energy at -0.4731 eV per atom. As for the excess energy over the best structure of this formula in the dataset: 0.87 kcal/mol of atoms.

***

Record 2
LiMoAuBr2 | PBE-GGA | optimized geometry

a = 5.267 Å, b = 5.423 Å, c = 5.267 Å
α = 90.00°, β = 90.00°, γ = 90.00°
Last column: magnetic moment on the atom in μB.
Fractional coordinates of all 5 atoms:
Au: 0.000 0.500 0.000  0.11
Li: 0.500 0.500 0.500  0.00
Mo: 0.000 0.000 0.000  2.77
Br: 0.000 0.000 0.500  0.04
Br: 0.500 0.000 0.000  0.07

Computed properties:
As for the total magnetic moment: 0.71 μB per atom. The crystal system is tetragonal. The calculation puts the uncorrected formation energy at 0.0884 eV per atom.

***

Record 3
Li2PdAuBr6 | PBE-GGA | optimized geometry

a = 7.228 Å, b = 6.762 Å, c = 7.381 Å
α = 61.77°, β = 63.98°, γ = 57.01°
Fractional coordinates of all 10 atoms:
Pd: 0.323 0.325 0.011
Br: 0.071 0.429 0.765
Li: 0.556 0.528 0.440
Br: 0.599 0.216 0.262
Br: 0.257 0.942 0.227
Br: 0.963 0.573 0.258
Br: 0.699 0.103 0.762
Li: 0.999 0.012 0.986
Au: 0.817 0.820 0.529
Br: 0.378 0.712 0.774

Computed properties:
As for the total magnetic moment: 0.00 μB per atom. The crystal system is triclinic. The calculation puts the uncorrected formation energy at -0.6802 eV per atom.

***

Record 4
Rb2LiAuBr6 | PBE-GGA | optimized geometry

a = 7.666 Å, b = 7.666 Å, c = 7.652 Å
α = 59.94°, β = 59.94°, γ = 90.00°
Fractional coordinates of all 10 atoms:
Rb: 0.750 0.250 0.500
Br: 0.746 0.254 0.000
Br: 0.765 0.765 0.471
Br: 0.746 0.746 0.000
Br: 0.254 0.254 0.000
Br: 0.235 0.235 0.529
Br: 0.254 0.746 0.000
Li: 0.500 0.500 0.000
Rb: 0.250 0.750 0.500
Au: 0.000 0.000 0.000

Computed properties:
As for the total magnetic moment: 0.00 μB per atom. The crystal system is tetragonal. The calculation puts the uncorrected formation energy at -0.9924 eV per atom.